Density functional theory data (PBE) for crystalline Ti4MoRh at its relaxed geometry.

a = 7.430 Å, b = 4.297 Å, c = 7.428 Å
α = 90.00°, β = 109.51°, γ = 90.00°
Space group C2/m (No. 12)
Inequivalent atoms, fractional coordinates:
Ti1 0.125 0.000 0.374 (multiplicity 4)
Ti2 0.125 0.500 0.876 (multiplicity 4)
Mo1 0.000 0.000 0.000 (multiplicity 2)
Rh1 0.000 0.500 0.500 (multiplicity 2)

Energy relative to the elements, eV per formula unit: 0.6
E, eV per cell: -98.34



Density functional theory data (PBE) for crystalline TiMoRh6 at its relaxed geometry.

a = 5.454 Å, b = 5.454 Å, c = 3.861 Å
α = 90.00°, β = 90.00°, γ = 90.00°
Space group P4/mmm (No. 123)
Inequivalent atoms, fractional coordinates:
Ti1 0.000 0.000 0.000 (multiplicity 1)
Mo1 0.500 0.500 0.000 (multiplicity 1)
Rh1 0.000 0.500 0.000 (multiplicity 2)
Rh2 0.252 0.252 0.500 (multiplicity 4)

Energy relative to the elements, eV per formula unit: -3.6
E, eV per cell: -66.43



Density functional theory data (PBE) for crystalline TiMoRh2 at its relaxed geometry.

a = 3.959 Å, b = 3.959 Å, c = 3.797 Å
α = 90.00°, β = 90.00°, γ = 90.00°
Space group P4/mmm (No. 123)
Inequivalent atoms, fractional coordinates:
Ti1 0.000 0.000 0.000 (multiplicity 1)
Mo1 0.500 0.500 0.000 (multiplicity 1)
Rh1 0.000 0.500 0.500 (multiplicity 2)

Energy relative to the elements, eV per formula unit: -1.6
E, eV per cell: -35.00



Density functional theory data (PBE) for crystalline Ti2MoRh at its relaxed geometry.

a = 6.905 Å, b = 6.905 Å, c = 5.526 Å
α = 90.00°, β = 90.00°, γ = 90.00°
Space group I-42d (No. 122)
Inequivalent atoms, fractional coordinates:
Ti1 0.236 0.250 0.125 (multiplicity 8)
Mo1 0.000 0.000 0.500 (multiplicity 4)
Rh1 0.000 0.000 0.000 (multiplicity 4)

Energy relative to the elements, eV per formula unit: 0.4
E, eV per cell: -134.43



Density functional theory data (PBE) for crystalline TiMoRh at its relaxed geometry.

a = 9.403 Å, b = 4.310 Å, c = 5.525 Å
α = 90.00°, β = 125.15°, γ = 90.00°
Space group C2/m (No. 12)
Inequivalent atoms, fractional coordinates:
Ti1 0.000 0.000 0.000 (multiplicity 2)
Ti2 0.000 0.000 0.500 (multiplicity 2)
Mo1 0.179 0.500 0.335 (multiplicity 4)
Rh1 0.148 0.500 0.808 (multiplicity 4)

Energy relative to the elements, eV per formula unit: -0.9
E, eV per cell: -108.10



Density functional theory data (PBE) for crystalline Ti7MoRh2 at its relaxed geometry.

a = 9.098 Å, b = 9.098 Å, c = 9.098 Å
α = 90.00°, β = 90.00°, γ = 90.00°
Space group Fm-3m (No. 225)
Inequivalent atoms, fractional coordinates:
Ti1 0.000 0.000 0.000 (multiplicity 4)
Ti2 0.000 0.000 0.246 (multiplicity 24)
Mo1 0.000 0.000 0.500 (multiplicity 4)
Rh1 0.250 0.250 0.250 (multiplicity 8)

Energy relative to the elements, eV per formula unit: 8.4
E, eV per cell: -289.75



Density functional theory data (PBE) for crystalline TiMoRh at its relaxed geometry.

a = 4.367 Å, b = 9.444 Å, c = 4.432 Å
α = 90.00°, β = 90.00°, γ = 90.00°
Space group Cmmm (No. 65)
Inequivalent atoms, fractional coordinates:
Ti1 0.000 0.000 0.000 (multiplicity 2)
Ti2 0.000 0.500 0.500 (multiplicity 2)
Mo1 0.000 0.168 0.500 (multiplicity 4)
Rh1 0.000 0.346 0.000 (multiplicity 4)

Energy relative to the elements, eV per formula unit: -1.0
E, eV per cell: -108.23



Density functional theory data (PBE) for crystalline Ti6MoRh2 at its relaxed geometry.

a = 13.567 Å, b = 6.041 Å, c = 4.283 Å
α = 90.00°, β = 108.31°, γ = 90.00°
Space group C2/m (No. 12)
Inequivalent atoms, fractional coordinates:
Ti1 0.000 0.250 0.000 (multiplicity 4)
Ti2 0.166 0.250 0.666 (multiplicity 8)
Mo1 0.000 0.000 0.500 (multiplicity 2)
Rh1 0.168 0.500 0.168 (multiplicity 4)

Energy relative to the elements, eV per formula unit: -0.2
E, eV per cell: -146.27